This record from Alexandria via LeMat-Bulk describes a geometry-optimized KMg structure. The functional is PBE.

Summary:
ΔE_f, meV per atom: 253
DFT total energy, eV/atom: -1.093
Crystal system: hexagonal

a = 6.295 Å, b = 6.295 Å, c = 5.796 Å
α = 90.00°, β = 90.00°, γ = 120.00°
Fractional coordinates of all 4 atoms:
K 0.333 0.667 0.250
K 0.667 0.333 0.750
Mg 0.000 0.000 0.000
Mg 0.000 0.000 0.500